Record 1
Ca2TaCd: optimized geometry, PBE.

The space group is R-3m (No. 166, hexagonal axes) and the conventional cell measures 3.2824, 3.2824 and 33.2641 Å, with angles of 90.00, 90.00 and 120.00 degrees. The distinct sites, in fractional coordinates, are Ca at (0.0000, 0.0000, 0.2455), Ta at (0.0000, 0.0000, 0.5000) and Cd at (0.0000, 0.0000, 0.0000).

The magnetization is 0.00 μB per atom. As for the calculated total energy: -45.33 eV per cell. As for the density of states at the Fermi level: 7.829 states/eV per cell. For the energy of formation, the calculation gives 0.42 eV per atom.

Record 2
Sr2ZnRh2: optimized geometry, PBE.

The space group is I4/mmm (No. 139) and the conventional cell measures 5.855, 5.855 and 7.558 Å, with angles of 90.00, 90.00 and 90.00 degrees. The distinct sites, in fractional coordinates, are Sr at (0.000, 0.500, 0.250), Zn at (0.000, 0.000, 0.000) and Rh at (0.000, 0.000, 0.329).

The magnetization is 0.00 μB per atom. As for the calculated total energy: -38.80 eV per cell. As for the density of states at the Fermi level: 4.223 states/eV per cell. For the energy of formation, the calculation gives -0.01 eV per atom.

Record 3
CaErCuSn: optimized geometry, PBE.

The space group is F-43m (No. 216) and the conventional cell measures 7.308, 7.308 and 7.308 Å, with angles of 90.00, 90.00 and 90.00 degrees. The distinct sites, in fractional coordinates, are Ca at (0.000, 0.000, 0.000), Er at (0.000, 0.000, 0.500), Cu at (0.250, 0.250, 0.250) and Sn at (0.250, 0.250, 0.750).

The magnetization is 0.00 μB per atom. As for the calculated total energy: -65.26 eV per cell. As for the density of states at the Fermi level: 8.015 states/eV per cell. For the energy of formation, the calculation gives -0.41 eV per atom.

Record 4
UNiCl6: optimized geometry, PBE.

The space group is C2/m (No. 12) and the conventional cell measures 6.292, 12.427 and 6.300 Å, with angles of 90.00, 111.05 and 90.00 degrees. The distinct sites, in fractional coordinates, are U at (0.000, 0.000, 0.000), Ni at (0.000, 0.500, 0.500), Cl at (0.231, 0.359, 0.732) and Cl at (0.244, 0.000, 0.756).

The value obtained for the raw formation energy is -1277 meV per atom. The magnetization is 0.00 μB per atom. As for the calculated total energy: -76.73 eV per cell. As for the density of states at the Fermi level: 9.763 states/eV per cell.

Record 5
Na2GaH6Au: optimized geometry, PBE.

The space group is P1 (No. 1) and the conventional cell measures 4.802, 5.207 and 6.543 Å, with angles of 72.57, 81.93 and 65.54 degrees. The distinct sites, in fractional coordinates, are Na at (0.000, 0.000, 0.000), Na at (0.338, 0.117, 0.408), Ga at (0.318, 0.487, 0.786), H at (0.136, 0.819, 0.656), H at (0.179, 0.472, 0.029), H at (0.234, 0.267, 0.707), H at (0.516, 0.902, 0.124), H at (0.674, 0.405, 0.776), H at (0.820, 0.178, 0.321) and Au at (0.672, 0.541, 0.219).

The magnetization is 0.00 μB per atom. As for the calculated total energy: -30.31 eV per cell. As for the density of states at the Fermi level: 0.000 states/eV per cell.

Record 6
HoFeSi2Os: optimized geometry, PBE.

The space group is I-4m2 (No. 119) and the conventional cell measures 4.024, 4.024 and 9.813 Å, with angles of 90.00, 90.00 and 90.00 degrees. The distinct sites, in fractional coordinates, are Ho at (0.000, 0.000, 0.000), Fe at (0.000, 0.500, 0.250), Si at (0.000, 0.000, 0.374) and Os at (0.000, 0.500, 0.750).

The value obtained for the raw formation energy is -690 meV per atom. The magnetization is 0.18 μB per atom. As for the calculated total energy: -77.14 eV per cell. As for the density of states at the Fermi level: 8.612 states/eV per cell.

Record 7
NaMgSnHg: optimized geometry, PBE.

The space group is P4mm (No. 99) and the conventional cell measures 3.487, 3.487 and 8.041 Å, with angles of 90.00, 90.00 and 90.00 degrees. The distinct sites, in fractional coordinates, are Na at (0.000, 0.000, 0.000), Mg at (0.000, 0.000, 0.475), Sn at (0.500, 0.500, 0.714) and Hg at (0.500, 0.500, 0.258).

The magnetization is 0.00 μB per atom. As for the calculated total energy: -8.06 eV per cell. As for the density of states at the Fermi level: 1.567 states/eV per cell. As for the energy above the lowest structure with this stoichiometry: 0 meV/atom. For the energy of formation, the calculation gives -0.21 eV per atom.

Record 8
Pm2Dy2Bi3: optimized geometry, PBE.

The space group is C2/m (No. 12) and the conventional cell measures 14.431, 4.535 and 7.547 Å, with angles of 90.00, 99.33 and 90.00 degrees. The distinct sites, in fractional coordinates, are Pm at (0.123, 0.000, 0.356), Dy at (0.118, 0.500, 0.885), Bi at (0.000, 0.500, 0.500) and Bi at (0.239, 0.000, 0.755).

The magnetization is 0.00 μB per atom. As for the calculated total energy: -69.44 eV per cell. As for the density of states at the Fermi level: 7.117 states/eV per cell. For the energy of formation, the calculation gives -0.62 eV per atom.

Record 9
Dy15YSc4: optimized geometry, PBE.

The space group is P4/mmm (No. 123) and the conventional cell measures 4.937, 4.937 and 24.594 Å, with angles of 90.00, 90.00 and 90.00 degrees. The distinct sites, in fractional coordinates, are Dy at (0.000, 0.000, 0.000), Dy at (0.000, 0.000, 0.203), Dy at (0.000, 0.000, 0.401), Dy at (0.000, 0.500, 0.104), Dy at (0.000, 0.500, 0.302), Dy at (0.000, 0.500, 0.500), Y at (0.500, 0.500, 0.000), Sc at (0.500, 0.500, 0.203) and Sc at (0.500, 0.500, 0.401).

The magnetization is 0.00 μB per atom. As for the calculated total energy: -100.10 eV per cell. As for the density of states at the Fermi level: 29.185 states/eV per cell. For the energy of formation, the calculation gives 0.04 eV per atom.

Record 10
Ag17Au2: optimized geometry, PBE.

The space group is R-3m (No. 166, hexagonal axes) and the conventional cell measures 9.4479, 9.4479 and 14.4774 Å, with angles of 90.00, 90.00 and 120.00 degrees. The distinct sites, in fractional coordinates, are Ag at (0.0000, 0.0000, 0.0943), Ag at (0.0000, 0.3208, 0.0000), Ag at (0.0000, 0.5000, 0.5000), Ag at (0.0018, 0.5009, 0.1585) and Au at (0.0000, 0.0000, 0.2944).

The magnetization is 0.00 μB per atom. As for the calculated total energy: -154.79 eV per cell. As for the density of states at the Fermi level: 19.003 states/eV per cell. For the energy of formation, the calculation gives 0.18 eV per atom.

Record 11
Tl2CdRe: optimized geometry, PBE.

The space group is I-4m2 (No. 119) and the conventional cell measures 4.201, 4.201 and 9.504 Å, with angles of 90.00, 90.00 and 90.00 degrees. The distinct sites, in fractional coordinates, are Tl at (0.000, 0.000, 0.000), Tl at (0.000, 0.500, 0.250), Cd at (0.000, 0.500, 0.750) and Re at (0.000, 0.000, 0.500).

The magnetization is 0.24 μB per atom. As for the calculated total energy: -29.19 eV per cell. As for the density of states at the Fermi level: 2.095 states/eV per cell. As for the energy above the lowest structure with this stoichiometry: 224 meV/atom. For the energy of formation, the calculation gives 0.87 eV per atom.

Record 12
KP2Pt7Pb2: optimized geometry, PBE.

The space group is C2/m (No. 12) and the conventional cell measures 5.652, 5.656 and 15.454 Å, with angles of 90.00, 100.40 and 90.00 degrees. The distinct sites, in fractional coordinates, are K at (0.000, 0.000, 0.000), P at (0.114, 0.500, 0.232), Pt at (0.000, 0.500, 0.000), Pt at (0.176, 0.250, 0.847), Pt at (0.192, 0.500, 0.383) and Pb at (0.211, 0.000, 0.423).

The magnetization is 0.00 μB per atom. As for the calculated total energy: -127.72 eV per cell. As for the density of states at the Fermi level: 7.922 states/eV per cell. For the energy of formation, the calculation gives -0.19 eV per atom.